{
  "formula": "NdPuHg2O6",
  "functional": "PBE-GGA",
  "state": "optimized geometry",
  "lattice": [[2.951, 1.704, 5.243], [-2.951, 1.704, 5.243], [0.000, -3.408, 5.243]],
  "species": ["Nd", "Pu", "Hg", "Hg", "O", "O", "O", "O", "O", "O"],
  "fractional_positions": [[0.000, 0.000, 0.000], [0.500, 0.500, 0.500], [0.249, 0.249, 0.249], [0.751, 0.751, 0.751], [0.140, 0.731, 0.388], [0.269, 0.612, 0.860], [0.388, 0.140, 0.731], [0.612, 0.860, 0.269], [0.731, 0.388, 0.140], [0.860, 0.269, 0.612]],
  "spacegroup": "No. 148",
  "formation_energy_uncorrected_ev_per_atom": -1.8756,
  "energy_ev_per_atom": -6.821
}